PBE-GGA CePuSiGe, optimized geometry; E above lowest polymorph = 0.000 eV/atom; formation energy without anion corrections = -155 kJ/mol of formula units
1.0
4.1661 0.0000 0.0000
0.0000 4.1661 0.0000
0.0000 0.0000 10.7356
Ce Pu Si Ge
2 2 2 2
Direct
0.2500 0.2500 0.1802 Ce
0.7500 0.7500 0.8198 Ce
0.2500 0.7500 0.5000 Pu
0.7500 0.2500 0.5000 Pu
0.2500 0.2500 0.6941 Si
0.7500 0.7500 0.3059 Si
0.2500 0.2500 0.9132 Ge
0.7500 0.7500 0.0868 Ge